Compound: Rb2CeCuF6
Source: the Alexandria database
Functional: PBE
Structure: relaxed

Geometry as CIF:
```
data_Rb2CeCuF6
_symmetry_space_group_name_H-M 'P m m n'
_symmetry_Int_Tables_number 59
_cell_length_a 6.964
_cell_length_b 8.369
_cell_length_c 7.078
_cell_angle_alpha 90.00
_cell_angle_beta 90.00
_cell_angle_gamma 90.00
loop_
_symmetry_equiv_pos_as_xyz
'x,y,z'
'-x,-y,-z'
'-x+1/2,-y+1/2,z'
'x+1/2,y+1/2,-z'
'x+1/2,-y,-z'
'-x+1/2,y,z'
'-x,y+1/2,-z'
'x,-y+1/2,z'
loop_
_atom_site_label
_atom_site_fract_x
_atom_site_fract_y
_atom_site_fract_z
_atom_site_occupancy
Rb1 0.250 0.013 0.174 1
Ce1 0.250 0.250 0.687 1
Cu1 0.250 0.750 0.731 1
F1 0.014 0.250 0.914 1
F2 0.042 0.250 0.442 1
F3 0.250 0.523 0.755 1
```

Values from the calculation:
E_form (uncorrected) = -65.568 kcal/mol of atoms
E above lowest polymorph = 0.0 meV per atom
Density of states at the Fermi level = 0.270 states/eV per atom
Density = 3.9 g/cm3

---

Compound: BeW4Se
Source: the Alexandria database
Functional: PBE
Structure: relaxed

Geometry as CIF:
```
data_BeW4Se
_symmetry_space_group_name_H-M 'F -4 3 m'
_symmetry_Int_Tables_number 216
_symmetry_space_group_name_Hall 'F -4 2 3'
_cell_length_a 7.485
_cell_length_b 7.485
_cell_length_c 7.485
_cell_angle_alpha 90.00
_cell_angle_beta 90.00
_cell_angle_gamma 90.00
loop_
_atom_site_label
_atom_site_fract_x
_atom_site_fract_y
_atom_site_fract_z
_atom_site_occupancy
Be1 0.000 0.000 0.000 1
W1 0.126 0.126 0.374 1
Se1 0.250 0.250 0.750 1
```

Values from the calculation:
E_form (uncorrected) = 23.154 kcal/mol of atoms
Density of states at the Fermi level = 0.637 states/eV per atom
Density = 13.0 g/cm3